w | # MgSnP

A relaxed structure of MgSnP (PBE-GGA, Alexandria).

abc: 3.887 3.888 11.068
angles: 89.93 89.82 60.03
Space group P1 (No. 1)
Unique sites:
Mg 0.000 0.000 0.000 (multiplicity 1)
Mg 0.331 0.333 0.224 (multiplicity 1)
Sn 0.661 0.670 0.521 (multiplicity 1)
Sn 0.666 0.668 0.796 (multiplicity 1)
P 0.666 0.667 0.105 (multiplicity 1)
P 0.995 0.003 0.399 (multiplicity 1)


x | # MgSnP

A relaxed structure of MgSnP (PBE-GGA, Alexandria).

abc: 7.461 4.654 9.091
angles: 90.00 97.79 90.00
Space group Cm (No. 8)
Unique sites:
Mg 0.000 0.000 0.000 (multiplicity 2)
Mg 0.044 0.500 0.247 (multiplicity 2)
Sn 0.038 0.500 0.683 (multiplicity 2)
Sn 0.175 0.000 0.559 (multiplicity 2)
P 0.145 0.500 0.960 (multiplicity 2)
P 0.201 0.000 0.282 (multiplicity 2)


y | # MgSnP

A relaxed structure of MgSnP (PBE-GGA, Alexandria).

abc: 3.9264 3.9264 33.9458
angles: 90.00 90.00 120.00
Space group R3m (No. 160, hexagonal axes)
Unique sites:
Mg 0.0000 0.0000 0.0000 (multiplicity 3)
Mg 0.0000 0.0000 0.4039 (multiplicity 3)
Sn 0.0000 0.0000 0.1362 (multiplicity 3)
Sn 0.0000 0.0000 0.2210 (multiplicity 3)
P 0.0000 0.0000 0.7004 (multiplicity 3)
P 0.0000 0.0000 0.9235 (multiplicity 3)


z | # MgSnP

A relaxed structure of MgSnP (PBE-GGA, Alexandria).

abc: 7.788 4.473 9.118
angles: 90.00 91.08 90.00
Space group C2 (No. 5)
Unique sites:
Mg 0.148 0.000 0.373 (multiplicity 4)
Sn 0.166 0.876 0.939 (multiplicity 4)
P 0.187 0.002 0.668 (multiplicity 4)


The most stable of them is z.


w | # MgSnP

A relaxed structure of MgSnP (PBE-GGA, Alexandria).

abc: 4.428 8.250 6.264
angles: 90.00 134.99 90.00
Space group Pc (No. 7)
Unique sites:
Mg 0.000 0.000 0.000 (multiplicity 2)
Sn 0.502 0.464 0.005 (multiplicity 2)
P 0.500 0.156 0.000 (multiplicity 2)


x | # MgSnP

A relaxed structure of MgSnP (PBE-GGA, Alexandria).

abc: 3.979 4.614 8.842
angles: 84.44 77.28 64.53
Space group P-1 (No. 2)
Unique sites:
Mg 0.080 0.216 0.121 (multiplicity 2)
Sn 0.194 0.704 0.406 (multiplicity 2)
P 0.256 0.176 0.814 (multiplicity 2)


y | # MgSnP

A relaxed structure of MgSnP (PBE-GGA, Alexandria).

abc: 4.2044 4.2044 27.8094
angles: 90.00 90.00 120.00
Space group R-3m (No. 166, hexagonal axes)
Unique sites:
Mg 0.0000 0.0000 0.1320 (multiplicity 6)
Sn 0.0000 0.0000 0.3729 (multiplicity 6)
P 0.0000 0.0000 0.2292 (multiplicity 6)


The most stable of them is w.


w | # Mg2SnP2

A relaxed structure of Mg2SnP2 (PBE-GGA, Alexandria).

abc: 7.632 7.632 3.363
angles: 90.00 90.00 90.00
Space group P4/mbm (No. 127)
Unique sites:
Mg 0.139 0.361 0.000 (multiplicity 4)
Sn 0.000 0.000 0.500 (multiplicity 2)
P 0.162 0.662 0.500 (multiplicity 4)


x | # Mg2SnP2

A relaxed structure of Mg2SnP2 (PBE-GGA, Alexandria).

abc: 4.186 4.186 12.249
angles: 90.00 90.00 90.00
Space group I4/mmm (No. 139)
Unique sites:
Mg 0.000 0.500 0.250 (multiplicity 4)
Sn 0.000 0.000 0.000 (multiplicity 2)
P 0.000 0.000 0.374 (multiplicity 4)


The most stable of them is w.